Material: ZnMo2F
Method: DFT, PBE with a Hubbard U
State: relaxed

Unit cell a=6.104 b=6.104 c=6.104 alpha=90.00 beta=90.00 gamma=90.00
Space group Fm-3m (No. 225)
Inequivalent atoms, fractional coordinates:
Zn  0.000  0.000  0.000 [4 per cell]
Mo  0.250  0.250  0.250 [8 per cell]
F  0.000  0.000  0.500 [4 per cell]

The value obtained for the offset from the most stable computed form is 0.101 eV per atom. The calculation puts the density of states at the Fermi level at 11.70 states/eV per cell.